This record from Alexandria via LeMat-Bulk describes an optimized crystal structure of Nb4B3. The functional is PBE.

formation energy from the elements	-0.55	eV/atom
DOS(E_F)	3.4	states/eV/f.u.
symmetry	C2/m

Lattice parameters (Å, degrees): 3.1618 4.9455 6.1786 100.45 104.82 90.00
Element x y z (fractional)
Nb 0.5770 0.2978 0.1540
Nb 0.4230 0.7022 0.8460
Nb 0.8370 0.1678 0.6741
Nb 0.1630 0.8322 0.3259
B 0.0000 0.0000 0.0000
B 0.7646 0.5941 0.5292
B 0.2354 0.4059 0.4708

=====

This record from Alexandria via LeMat-Bulk describes an optimized crystal structure of TbCoSi. The functional is PBE.

DOS(E_F)	3.6	states/eV/f.u.
symmetry	P-6m2
formation energy (no corrections)	-1.866	eV/f.u.

Lattice parameters (Å, degrees): 3.9077 4.0021 4.0021 120.00 90.00 90.00
Element x y z (fractional)
Co 0.1667 0.0000 0.0000
Si 0.1667 0.3333 0.6667
Tb 0.6667 0.6667 0.3333

=====

This record from Alexandria via LeMat-Bulk describes an optimized crystal structure of Gd2GaAg. The functional is PBE.

formation energy from the elements	-0.45	eV/atom
DOS(E_F)	3.1	states/eV/f.u.
symmetry	P4/mmm

Lattice parameters (Å, degrees): 3.5826 3.5826 7.5419 90.00 90.00 90.00
Element x y z (fractional)
Gd 0.0000 0.0000 0.7567
Gd 0.0000 0.0000 0.2433
Ga 0.5000 0.5000 0.0000
Ag 0.5000 0.5000 0.5000

=====

This record from Alexandria via LeMat-Bulk describes an optimized crystal structure of Tl4HgSe. The functional is PBE.

energy above the lowest structure with this stoichiometry	22	kJ/mol of formula units
DOS(E_F)	2.0	states/eV/f.u.
symmetry	C2/m
formation energy (no corrections)	-0.584	eV/f.u.

Lattice parameters (Å, degrees): 5.2795 5.2697 9.0351 73.23 73.01 59.94
Element x y z (fractional)
Tl 0.6247 0.6265 0.1241
Tl 0.3753 0.3735 0.8759
Tl 0.1281 0.1291 0.6147
Tl 0.8719 0.8709 0.3853
Hg 0.5000 0.5000 0.5000
Se 0.0000 0.0000 0.0000

=====

This record from Alexandria via LeMat-Bulk describes an optimized crystal structure of RbNa17Li. The functional is PBE.

formation energy from the elements	0.05	eV/atom
DOS(E_F)	11.4	states/eV/f.u.
symmetry	R3m

Lattice parameters (Å, degrees): 9.3022 9.3022 9.3022 75.43 75.43 75.43
Element x y z (fractional)
Rb 0.6594 0.6594 0.6594
Na 0.3066 0.0154 0.6828
Na 0.6828 0.3066 0.0154
Na 0.0154 0.6828 0.3066
Na 0.3066 0.6828 0.0154
Na 0.0154 0.3066 0.6828
Na 0.6828 0.0154 0.3066
Na 0.3214 0.9570 0.3214
Na 0.3214 0.3214 0.9570
Na 0.9570 0.3214 0.3214
Na 0.5961 0.2486 0.5961
Na 0.5961 0.5961 0.2486
Na 0.2486 0.5961 0.5961
Na 0.9579 0.5445 0.9579
Na 0.9579 0.9579 0.5445
Na 0.5445 0.9579 0.9579
Na 0.9182 0.9182 0.9182
Na 0.0788 0.0788 0.0788
Li 0.3331 0.3331 0.3331

=====

This record from Alexandria via LeMat-Bulk describes an optimized crystal structure of Cd6CuAg8. The functional is PBE.

energy above the lowest structure with this stoichiometry	0	kJ/mol of formula units
formation energy from the elements	0.02	eV/atom
DOS(E_F)	4.0	states/eV/f.u.
symmetry	R-3

Lattice parameters (Å, degrees): 7.4858 7.4858 7.4265 59.74 59.74 60.00
Element x y z (fractional)
Cd 0.4511 0.9386 0.8299
Cd 0.0614 0.2196 0.1701
Cd 0.2196 0.5489 0.1701
Cd 0.7804 0.4511 0.8299
Cd 0.9386 0.7804 0.8299
Cd 0.5489 0.0614 0.1701
Cu 0.0000 0.0000 0.0000
Ag 0.5958 0.3186 0.3132
Ag 0.6814 0.2276 0.6868
Ag 0.2276 0.4042 0.6868
Ag 0.8495 0.8495 0.4516
Ag 0.1505 0.1505 0.5484
Ag 0.7724 0.5958 0.3132
Ag 0.3186 0.7724 0.3132
Ag 0.4042 0.6814 0.6868

=====

This record from Alexandria via LeMat-Bulk describes an optimized crystal structure of YScAgSn. The functional is PBE.

formation energy from the elements	-0.49	eV/atom
DOS(E_F)	3.5	states/eV/f.u.
symmetry	F-43m

Lattice parameters (Å, degrees): 5.0954 5.0954 5.0954 60.00 60.00 60.00
Element x y z (fractional)
Y 0.7500 0.7500 0.7500
Sc 0.2500 0.2500 0.2500
Sn 0.0000 0.0000 0.0000
Ag 0.5000 0.5000 0.5000

=====

This record from Alexandria via LeMat-Bulk describes an optimized crystal structure of ScCrGaCu. The functional is PBE.

formation energy from the elements	-0.15	eV/atom
DOS(E_F)	1.9	states/eV/f.u.
symmetry	F-43m

Lattice parameters (Å, degrees): 4.4942 4.4942 4.4942 60.00 60.00 60.00
Element x y z (fractional)
Sc 0.2500 0.2500 0.2500
Cr 0.7500 0.7500 0.7500
Cu 0.5000 0.5000 0.5000
Ga 0.0000 0.0000 0.0000

=====

| no. | size of the total moment (μB per formula unit) |
| --- | --- |
| 1 | 0.00 |
| 2 | 0.09 |
| 3 | 14.63 |
| 4 | 0.00 |
| 5 | 0.00 |
| 6 | 0.00 |
| 7 | 0.70 |
| 8 | 3.58 |